# 1
Compound: ScZnP
Source: Alexandria
Functional: GGA-PBE
Structure: relaxed

Cell lengths 5.343, 5.343, 5.343 Å; angles 146.77, 142.04, 51.33 degrees
Fractional positions:
Sc  0.655  0.655  0.000
Zn  0.351  0.351  0.000
P  0.994  0.994  0.000

## Properties
Space-group type: Imm2, No. 44

# 2
Compound: Sc2Zn2P
Source: Alexandria
Functional: GGA-PBE
Structure: relaxed

Cell lengths 6.821, 6.821, 4.389 Å; angles 90.00, 90.00, 90.00 degrees
Fractional positions:
P  0.500  0.500  0.000
P  0.000  0.000  0.000
Sc  0.169  0.331  0.000
Sc  0.331  0.831  0.000
Sc  0.669  0.169  0.000
Sc  0.831  0.669  0.000
Zn  0.367  0.133  0.500
Zn  0.133  0.633  0.500
Zn  0.867  0.367  0.500
Zn  0.633  0.867  0.500

## Properties
Distance to the lowest polymorph of the same formula, eV per atom: 0.027
Space-group type: P4/mbm, No. 127

# 3
Compound: ScZnP2
Source: Alexandria
Functional: GGA-PBE
Structure: relaxed

Cell lengths 4.553, 4.553, 4.553 Å; angles 60.00, 60.00, 60.00 degrees
Fractional positions:
Zn  0.250  0.250  0.250
P  0.000  0.000  0.000
P  0.750  0.750  0.750
Sc  0.500  0.500  0.500

## Properties
Space-group type: F-43m, No. 216

# 4
Compound: ScZnP2
Source: Alexandria
Functional: GGA-PBE
Structure: relaxed

Cell lengths 5.452, 5.452, 5.452 Å; angles 140.55, 140.55, 57.02 degrees
Fractional positions:
Sc  0.500  0.500  0.000
P  0.250  0.750  0.500
P  0.000  0.000  0.000
Zn  0.750  0.250  0.500

## Properties
Space-group type: I-4m2, No. 119

# 5
Compound: ScZnP2
Source: Alexandria
Functional: GGA-PBE
Structure: relaxed

Cell lengths 5.220, 5.220, 3.860 Å; angles 78.01, 78.01, 41.04 degrees
Fractional positions:
Zn  0.237  0.237  0.214
P  0.010  0.010  0.078
P  0.772  0.772  0.620
Sc  0.482  0.482  0.588

## Properties
Space-group type: Cm, No. 8

# 6
Compound: ScZnP2
Source: Alexandria
Functional: GGA-PBE
Structure: relaxed

Cell lengths 2.855, 2.855, 8.947 Å; angles 90.00, 90.00, 93.78 degrees
Fractional positions:
Zn  0.500  0.500  0.752
P  0.500  0.500  0.300
P  0.000  0.000  0.947
Sc  0.000  0.000  0.502

## Properties
Space-group type: Cmm2, No. 35

# 7
Compound: ScZnP2
Source: Alexandria
Functional: GGA-PBE
Structure: relaxed

Cell lengths 3.578, 3.578, 5.911 Å; angles 68.35, 90.00, 90.00 degrees
Fractional positions:
P  0.000  0.892  0.046
P  0.000  0.608  0.454
Zn  0.500  0.750  0.750
Sc  0.500  0.250  0.250

## Properties
Space-group type: P2/m, No. 10

# 8
Compound: ScZnP
Source: Alexandria
Functional: GGA-PBE
Structure: relaxed

Cell lengths 4.405, 4.405, 4.405 Å; angles 60.00, 60.00, 60.00 degrees
Fractional positions:
Zn  0.000  0.000  0.000
Sc  0.250  0.250  0.250
P  0.500  0.500  0.500

## Properties
Space-group type: F-43m, No. 216

# 9
Compound: Sc2Zn2P
Source: Alexandria
Functional: GGA-PBE
Structure: relaxed

Cell lengths 6.506, 6.506, 4.203 Å; angles 90.00, 90.00, 90.00 degrees
Fractional positions:
Zn  0.132  0.368  0.000
Zn  0.868  0.632  0.000
Zn  0.632  0.132  0.000
Zn  0.368  0.868  0.000
Sc  0.332  0.168  0.500
Sc  0.168  0.668  0.500
Sc  0.668  0.832  0.500
Sc  0.832  0.332  0.500
P  0.500  0.500  0.000
P  0.000  0.000  0.000

## Properties
Distance to the lowest polymorph of the same formula, eV per atom: 0.015
Space-group type: P4/mbm, No. 127

# 10
Compound: Sc2Zn2P
Source: Alexandria
Functional: GGA-PBE
Structure: relaxed

Cell lengths 8.288, 8.288, 8.288 Å; angles 156.01, 156.01, 34.19 degrees
Fractional positions:
Sc  0.409  0.409  0.000
Sc  0.591  0.591  0.000
Zn  0.250  0.750  0.500
Zn  0.750  0.250  0.500
P  0.000  0.000  0.000

## Properties
Distance to the lowest polymorph of the same formula, eV per atom: 0.000
Space-group type: I4/mmm, No. 139

# 11
Compound: Sc3ZnP
Source: Alexandria
Functional: GGA-PBE
Structure: relaxed

Cell lengths 4.880, 4.880, 4.880 Å; angles 90.00, 90.00, 90.00 degrees
Fractional positions:
P  0.000  0.000  0.000
Sc  0.500  0.000  0.000
Sc  0.000  0.500  0.000
Sc  0.000  0.000  0.500
Zn  0.500  0.500  0.500

## Properties
Distance to the lowest polymorph of the same formula, eV per atom: 0.000
Space-group type: Pm-3m, No. 221

# 12
Compound: ScZnP2
Source: Alexandria
Functional: GGA-PBE
Structure: relaxed

Cell lengths 3.708, 3.711, 5.261 Å; angles 90.00, 90.00, 90.00 degrees
Fractional positions:
Sc  0.000  0.000  0.388
P  0.000  0.000  0.884
P  0.500  0.500  0.366
Zn  0.500  0.500  0.863

## Properties
Space-group type: P4mm, No. 99

# 13
Compound: ScZnP2
Source: Alexandria
Functional: GGA-PBE
Structure: relaxed

Cell lengths 4.258, 4.258, 3.536 Å; angles 90.00, 90.00, 86.31 degrees
Fractional positions:
P  0.000  0.000  0.000
P  0.500  0.500  0.000
Zn  0.000  0.500  0.500
Sc  0.500  0.000  0.500

## Properties
Space-group type: Cmmm, No. 65

# 14
Compound: ScZnP
Source: Alexandria
Functional: GGA-PBE
Structure: relaxed

Cell lengths 3.761, 4.905, 6.547 Å; angles 103.25, 90.00, 112.54 degrees
Fractional positions:
P  0.327  0.654  0.280
P  0.673  0.346  0.720
Sc  0.378  0.756  0.688
Sc  0.622  0.244  0.312
Zn  0.877  0.755  0.057
Zn  0.123  0.245  0.943

## Properties
Space-group type: C2/m, No. 12

# 15
Compound: ScZnP3
Source: Alexandria
Functional: GGA-PBE
Structure: relaxed

Cell lengths 4.911, 4.911, 4.911 Å; angles 90.00, 90.00, 90.00 degrees
Fractional positions:
P  0.000  0.000  0.500
P  0.500  0.000  0.000
P  0.000  0.500  0.000
Sc  0.000  0.000  0.000
Zn  0.500  0.500  0.500

## Properties
Distance to the lowest polymorph of the same formula, eV per atom: 0.128
Space-group type: Pm-3m, No. 221

# 16
Compound: ScZnP2
Source: Alexandria
Functional: GGA-PBE
Structure: relaxed

Cell lengths 6.692, 6.692, 5.717 Å; angles 54.18, 54.18, 90.00 degrees
Fractional positions:
P  0.656  0.125  0.250
P  0.375  0.344  0.750
P  0.094  0.625  0.250
P  0.875  0.906  0.750
Sc  0.500  0.500  0.000
Sc  0.250  0.750  0.500
Zn  0.000  0.000  0.000
Zn  0.750  0.250  0.500

## Properties
Space-group type: I-42d, No. 122

# 17
Compound: ScZn2P2
Source: Alexandria
Functional: GGA-PBE
Structure: relaxed

Cell lengths 6.945, 6.945, 3.475 Å; angles 90.00, 90.00, 90.00 degrees
Fractional positions:
Sc  0.500  0.500  0.000
Sc  0.000  0.000  0.000
Zn  0.640  0.860  0.500
Zn  0.140  0.640  0.500
Zn  0.360  0.140  0.500
Zn  0.860  0.360  0.500
P  0.836  0.664  0.000
P  0.336  0.836  0.000
P  0.164  0.336  0.000
P  0.664  0.164  0.000

## Properties
Space-group type: P4/mbm, No. 127

# 18
Compound: Zr2ScP
Source: Alexandria
Functional: GGA-PBE
Structure: relaxed

Cell lengths 3.234, 3.234, 8.412 Å; angles 90.00, 90.00, 105.78 degrees
Fractional positions:
Sc  0.500  0.500  0.000
Zr  0.000  0.000  0.296
Zr  0.000  0.000  0.704
P  0.500  0.500  0.500

## Properties
Space-group type: Cmmm, No. 65

# 19
Compound: Zr2ScP
Source: Alexandria
Functional: GGA-PBE
Structure: relaxed

Cell lengths 4.089, 4.089, 4.577 Å; angles 90.00, 90.00, 90.00 degrees
Fractional positions:
P  0.500  0.500  0.500
Zr  0.500  0.000  0.000
Zr  0.000  0.500  0.000
Sc  0.000  0.000  0.500

## Properties
Space-group type: P4/mmm, No. 123

# 20
Compound: ZrSc2P
Source: Alexandria
Functional: GGA-PBE
Structure: relaxed

Cell lengths 4.756, 4.756, 4.756 Å; angles 60.00, 60.00, 60.00 degrees
Last column: magnetic moment on the atom in μB.
Fractional positions:
Zr  0.250  0.250  0.250  0.22
P  0.500  0.500  0.500  -0.02
Sc  0.000  0.000  0.000  0.46
Sc  0.750  0.750  0.750  0.08

## Properties
Space-group type: F-43m, No. 216

# 21
Compound: ZrSc3P3
Source: Alexandria
Functional: GGA-PBE
Structure: relaxed

Cell lengths 7.935, 7.935, 7.935 Å; angles 90.00, 90.00, 90.00 degrees
Fractional positions:
P  0.001  0.750  0.627
P  0.499  0.250  0.127
P  0.250  0.127  0.499
P  0.627  0.001  0.750
P  0.373  0.501  0.750
P  0.501  0.750  0.373
P  0.127  0.499  0.250
P  0.873  0.999  0.250
P  0.250  0.873  0.999
P  0.750  0.627  0.001
P  0.999  0.250  0.873
P  0.750  0.373  0.501
Sc  0.816  0.316  0.184
Sc  0.318  0.818  0.682
Sc  0.316  0.184  0.816
Sc  0.684  0.684  0.684
Sc  0.435  0.565  0.065
Sc  0.565  0.065  0.435
Sc  0.818  0.682  0.318
Sc  0.682  0.318  0.818
Sc  0.182  0.182  0.182
Sc  0.184  0.816  0.316
Sc  0.935  0.935  0.935
Sc  0.065  0.435  0.565
Zr  0.931  0.069  0.569
Zr  0.431  0.431  0.431
Zr  0.569  0.931  0.069
Zr  0.069  0.569  0.931

## Properties
Space-group type: P2_13, No. 198

# 22
Compound: Zr2ScP
Source: Alexandria
Functional: GGA-PBE
Structure: relaxed

Cell lengths 7.982, 7.982, 6.262 Å; angles 50.40, 50.40, 90.00 degrees
Fractional positions:
Zr  0.187  0.625  0.250
Zr  0.375  0.437  0.750
Zr  0.875  0.813  0.750
Zr  0.563  0.125  0.250
Sc  0.000  0.000  0.000
Sc  0.750  0.250  0.500
P  0.250  0.750  0.500
P  0.500  0.500  0.000

## Properties
Space-group type: I-42d, No. 122

# 23
Compound: ZrSc2P
Source: Alexandria
Functional: GGA-PBE
Structure: relaxed

Cell lengths 5.458, 5.458, 3.195 Å; angles 79.96, 79.96, 116.98 degrees
Fractional positions:
Sc  0.000  0.500  0.000
Sc  0.500  0.000  0.000
P  0.500  0.500  0.500
Zr  0.000  0.000  0.500

## Properties
Space-group type: C2/m, No. 12

# 24
Compound: Zr2ScP
Source: Alexandria
Functional: GGA-PBE
Structure: relaxed

Cell lengths 3.483, 3.483, 6.566 Å; angles 90.00, 90.00, 90.00 degrees
Fractional positions:
Zr  0.000  0.000  0.211
Zr  0.000  0.000  0.789
Sc  0.500  0.500  0.500
P  0.500  0.500  0.000

## Properties
Space-group type: P4/mmm, No. 123

# 25
Compound: ZrSc2P
Source: Alexandria
Functional: GGA-PBE
Structure: relaxed

Cell lengths 5.867, 5.867, 5.867 Å; angles 146.00, 131.53, 60.52 degrees
Fractional positions:
Sc  0.250  0.250  0.000
Sc  0.557  0.057  0.500
Zr  0.943  0.443  0.500
P  0.750  0.750  0.000

## Properties
Space-group type: Imm2, No. 44

# 26
Compound: Zr2ScP
Source: Alexandria
Functional: GGA-PBE
Structure: relaxed

Cell lengths 5.662, 5.662, 3.967 Å; angles 90.00, 90.00, 141.10 degrees
Fractional positions:
Zr  0.270  0.730  0.500
Zr  0.963  0.037  0.000
P  0.703  0.297  0.000
Sc  0.546  0.454  0.500

## Properties
Space-group type: Amm2, No. 38

# 27
Compound: Zr2ScP
Source: Alexandria
Functional: GGA-PBE
Structure: relaxed

Cell lengths 5.497, 5.497, 5.497 Å; angles 136.37, 136.37, 63.41 degrees
Fractional positions:
P  0.500  0.500  0.000
Zr  0.250  0.750  0.500
Zr  0.000  0.000  0.000
Sc  0.750  0.250  0.500

## Properties
Space-group type: I-4m2, No. 119

One value per record, in order, for DFT formation energy: -0.391, -0.395, -0.006, -0.464, -0.557, 0.008, -0.453, -0.364, -0.406, -0.422, -0.467, -0.549, -0.449, -0.676, 0.549, -0.455, -0.274, -0.472, -0.443, -0.149, -1.304, -0.378, -0.236, -0.528, -0.532, -0.579, -0.381 eV per atom.